The following is a DFT calculation (PBE with a Hubbard U) of a relaxed structure of BiWN2F.

Results
**Calculated volume**: 80 Å³/cell
**Total energy**: -4.1694 eV per atom
**ρ**: 9.17 g/cm³

a b c (Å): 4.5878 4.5878 3.7830
angles (deg): 90.00 90.00 90.00
Closest atoms and distances in Å follow each position.
Space group P4/mmm (No. 123)
Inequivalent atoms, fractional coordinates:
Bi: 0.0000 0.0000 0.0000  8 N 2.97, 4 W 3.24
W: 0.5000 0.5000 0.0000  2 F 1.89
N: 0.0000 0.5000 0.5000  2 F 2.29
F: 0.5000 0.5000 0.5000  2 W 1.89